This record from Alexandria describes LiIr2Os after structural relaxation. The functional is GGA-PBEsol.

The structure in CIF format:
```
data_LiIr2Os
_space_group_name_H-M_alt 'C 1 2/m 1'
_space_group_IT_number 12
_space_group_name_Hall '-C 2y'
_cell_length_a 8.796
_cell_length_b 2.660
_cell_length_c 4.647
_cell_angle_alpha 90.00
_cell_angle_beta 97.54
_cell_angle_gamma 90.00
loop_
_atom_site_label
_atom_site_fract_x
_atom_site_fract_y
_atom_site_fract_z
_atom_site_occupancy
Li1 0.000 0.000 0.000 1
Ir1 0.243 0.000 0.751 1
Os1 0.000 0.500 0.500 1
```

Calculated values
The raw total energy is -66.976 eV per cell. As for the formation energy from the elements: 0.085 eV per atom. For the relative energy among the computed polymorphs, the calculation gives 0.0103 eV/atom. Its magnetic moment is 0.000 μB per formula unit.

***

This record from Alexandria describes LiIr2Os after structural relaxation. The functional is GGA-PBEsol.

The structure in CIF format:
```
data_LiIr2Os
_space_group_name_H-M_alt 'F -4 3 m'
_space_group_IT_number 216
_space_group_name_Hall 'F -4 2 3'
_cell_length_a 5.985
_cell_length_b 5.985
_cell_length_c 5.985
_cell_angle_alpha 90.00
_cell_angle_beta 90.00
_cell_angle_gamma 90.00
loop_
_atom_site_label
_atom_site_fract_x
_atom_site_fract_y
_atom_site_fract_z
_atom_site_occupancy
Li1 0.000 0.000 0.000 1
Ir1 0.000 0.000 0.500 1
Ir2 0.250 0.250 0.250 1
Os1 0.250 0.250 0.750 1
```

Calculated values
The raw total energy is -130.190 eV per cell. As for the formation energy from the elements: 0.321 eV per atom. For the relative energy among the computed polymorphs, the calculation gives 0.2454 eV/atom. Its magnetic moment is 0.003 μB per formula unit.